CoNiN2O: optimized geometry, PBE with a Hubbard U.

Unit cell a=3.753 b=3.753 c=3.631 alpha=90.00 beta=90.00 gamma=90.00
Space group P4/mmm (No. 123)
One atom of each set of equivalent atoms:
Co (0.000, 0.000, 0.000) (multiplicity 1)
Ni (0.500, 0.500, 0.500) (multiplicity 1)
N (0.000, 0.500, 0.000) (multiplicity 2)
O (0.000, 0.000, 0.500) (multiplicity 1)


CoNiN2O: optimized geometry, PBE with a Hubbard U.

Unit cell a=3.650 b=3.650 c=3.798 alpha=90.00 beta=90.00 gamma=90.00
Space group P4/mmm (No. 123)
One atom of each set of equivalent atoms:
Co (0.000, 0.000, 0.000) (multiplicity 1)
Ni (0.500, 0.500, 0.500) (multiplicity 1)
N (0.000, 0.500, 0.500) (multiplicity 2)
O (0.500, 0.500, 0.000) (multiplicity 1)


Quick rundown of VASP energy, same order as above: -4.618; -4.409 eV per atom